[1]
DFT (GGA-PBE) results for an optimized crystal structure of CsAl3Bi.

Computed properties:
uncorrected energy	-1.607	eV/atom
crystal system	cubic
theoretical density	3.5	Mg/m³

a b c (Å): 5.8670 5.8670 5.8670
angles (deg): 90.00 90.00 90.00
With the nearest neighbours (Å) after each atom.
Space group Pm-3m (No. 221)
Symmetry-distinct sites (fractional):
Cs1 0.0000 0.0000 0.0000 x1  6 Al 2.93
Al1 0.0000 0.0000 0.5000 x3  2 Cs 2.93
Bi1 0.5000 0.5000 0.5000 x1  12 Al 4.15

=====

[2]
DFT (GGA-PBE) results for an optimized crystal structure of TaCu2Pb.

Computed properties:
uncorrected energy	-5.634	eV/atom
crystal system	tetragonal
theoretical density	11.9	Mg/m³

a b c (Å): 3.0466 3.0466 7.7341
angles (deg): 90.00 90.00 90.00
With the nearest neighbours (Å) after each atom.
Space group P4/mmm (No. 123)
Symmetry-distinct sites (fractional):
Ta1 0.0000 0.0000 0.0000 x1  8 Cu 2.74, 4 Ta 3.05
Cu1 0.5000 0.5000 0.2182 x2  4 Ta 2.74, 4 Cu 3.05, 4 Pb 3.06
Pb1 0.0000 0.0000 0.5000 x1  4 Pb 3.05, 8 Cu 3.06

=====

[3]
DFT (GGA-PBE) results for an optimized crystal structure of RbVNi2.

Computed properties:
uncorrected energy	-4.117	eV/atom
crystal system	cubic
theoretical density	5.8	Mg/m³

a b c (Å): 6.6198 6.6198 6.6198
angles (deg): 90.00 90.00 90.00
With the nearest neighbours (Å) after each atom.
Space group Fm-3m (No. 225)
Symmetry-distinct sites (fractional):
Rb1 0.0000 0.0000 0.0000 x4  8 Ni 2.87
V1 0.0000 0.0000 0.5000 x4  8 Ni 2.87
Ni1 0.2500 0.2500 0.2500 x8  4 V 2.87, 4 Rb 2.87

=====

[4]
DFT (GGA-PBE) results for an optimized crystal structure of H2PdN2.

Computed properties:
uncorrected energy	-5.202	eV/atom
crystal system	tetragonal
theoretical density	5.9	Mg/m³

a b c (Å): 5.4651 5.4651 2.5739
angles (deg): 90.00 90.00 90.00
With the nearest neighbours (Å) after each atom.
Space group P4/mbm (No. 127)
Symmetry-distinct sites (fractional):
H1 0.1263 0.3737 0.0000 x4  2 N 1.32
Pd1 0.0000 0.0000 0.5000 x2  4 N 2.30, 8 H 2.51, 2 Pd 2.57
N1 0.0878 0.4122 0.5000 x4  2 H 1.32, 1 N 1.36

=====

[5]
DFT (GGA-PBE) results for an optimized crystal structure of Nd2TlSe3.

Computed properties:
raw formation energy	-881	kJ/mol of formula units
crystal system	hexagonal
theoretical density	6.8	Mg/m³

a b c (Å): 4.2485 4.2485 22.8187
angles (deg): 90.00 90.00 120.00
With the nearest neighbours (Å) after each atom.
Space group P6_3/mmc (No. 194)
Symmetry-distinct sites (fractional):
Nd1 0.3333 0.6667 0.0770 x4  6 Se 2.97-3.02
Tl1 0.0000 0.0000 0.2500 x2  6 Se 3.35
Se1 0.0000 0.0000 0.0000 x2  6 Nd 3.02
Se2 0.3333 0.6667 0.6502 x4  3 Nd 2.97

=====

[6]
DFT (GGA-PBE) results for an optimized crystal structure of Ac3Sm2Y7.

Computed properties:
uncorrected energy	-5.345	eV/atom
crystal system	orthorhombic
theoretical density	5.9	Mg/m³

a b c (Å): 3.7920 41.2411 5.8062
angles (deg): 90.00 90.00 90.00
With the nearest neighbours (Å) after each atom.
Space group Cmmm (No. 65)
Symmetry-distinct sites (fractional):
Ac1 0.0000 0.0000 0.0000 x2  8 Y 3.44-3.47, 2 Ac 3.79
Ac2 0.0000 0.3279 0.5000 x4  4 Sm 3.75, 2 Ac 3.79, 6 Y 3.91-4.14
Sm1 0.0000 0.1372 0.0000 x4  3 Y 3.24-3.37
Y1 0.0000 0.0828 0.5000 x4  8 Y 3.51-3.90, 2 Sm 3.67
Y2 0.0000 0.2159 0.0000 x4  1 Sm 3.24, 2 Y 3.39
Y3 0.0000 0.4304 0.0000 x4  2 Sm 3.37, 2 Ac 3.44, 4 Y 3.51
Y4 0.0000 0.5000 0.5000 x2  4 Ac 3.47, 2 Y 3.79

=====

[7]
DFT (GGA-PBE) results for an optimized crystal structure of Nd2ErZn.

Computed properties:
uncorrected energy	-3.861	eV/atom
crystal system	trigonal
theoretical density	7.2	Mg/m³

a b c (Å): 3.6304 3.6304 31.6750
angles (deg): 90.00 90.00 120.00
With the nearest neighbours (Å) after each atom.
Space group R-3m (No. 166, hexagonal axes)
Symmetry-distinct sites (fractional):
Nd1 0.0000 0.0000 0.2407 x6  3 Zn 3.15
Er1 0.0000 0.0000 0.0000 x3  6 Nd 3.61, 6 Er 3.63
Zn1 0.0000 0.0000 0.5000 x3  6 Nd 3.15

=====

[8]
DFT (GGA-PBE) results for an optimized crystal structure of Nd3AlSi2.

Computed properties:
raw formation energy	-355	kJ/mol of formula units
crystal system	orthorhombic
theoretical density	5.6	Mg/m³

a b c (Å): 11.9345 4.2330 12.0648
angles (deg): 90.00 90.00 90.00
With the nearest neighbours (Å) after each atom.
Space group Pnma (No. 62)
Symmetry-distinct sites (fractional):
Nd1 0.0608 0.2500 0.1170 x4  5 Si 3.05-3.24, 1 Al 3.15
Nd2 0.1231 0.7500 0.5613 x4  3 Al 3.16-3.19, 5 Si 3.16-3.21
Nd3 0.1958 0.2500 0.7964 x4  4 Si 3.02-3.28, 2 Al 3.05
Al1 0.1344 0.2500 0.3674 x4  3 Si 2.53-2.54
Si1 0.0304 0.7500 0.3159 x4  2 Al 2.53
Si2 0.1899 0.7500 0.9866 x4  1 Al 2.54

=====

[9]
DFT (GGA-PBE) results for an optimized crystal structure of CuSiAg3.

Computed properties:
raw formation energy	311	kJ/mol of formula units
crystal system	cubic
theoretical density	6.4	Mg/m³

a b c (Å): 4.7491 4.7491 4.7491
angles (deg): 90.00 90.00 90.00
With the nearest neighbours (Å) after each atom.
Space group Pm-3m (No. 221)
Symmetry-distinct sites (fractional):
Cu1 0.0000 0.0000 0.0000 x1  12 Ag 3.36
Si1 0.5000 0.5000 0.5000 x1  6 Ag 2.37
Ag1 0.0000 0.5000 0.5000 x3  2 Si 2.37

=====

[10]
DFT (GGA-PBE) results for an optimized crystal structure of SrZrAl2.

Computed properties:
uncorrected energy	-4.409	eV/atom
crystal system	monoclinic
theoretical density	4.1	Mg/m³

a b c (Å): 11.4781 3.0221 5.6302
angles (deg): 90.00 106.90 90.00
With the nearest neighbours (Å) after each atom.
Space group Cm (No. 8)
Symmetry-distinct sites (fractional):
Sr1 0.0000 0.0000 0.0000 x2  2 Sr 3.02, 7 Al 3.17-3.31
Zr1 0.2982 0.5000 0.3790 x2  2 Zr 3.02, 7 Al 3.15-3.33
Al1 0.0510 0.5000 0.5158 x2  4 Al 2.82-3.02, 1 Zr 3.15
Al2 0.2414 0.0000 0.8300 x2  4 Al 2.82-3.02

=====

[11]
DFT (GGA-PBE) results for an optimized crystal structure of LaSmGa6.

Computed properties:
uncorrected energy	-4.058	eV/atom
crystal system	hexagonal
theoretical density	7.0	Mg/m³

a b c (Å): 6.4968 6.4968 4.6099
angles (deg): 90.00 90.00 120.00
With the nearest neighbours (Å) after each atom.
Space group P-6m2 (No. 187)
Symmetry-distinct sites (fractional):
La1 0.0000 0.0000 0.0000 x1  12 Ga 3.16-3.26
Sm1 0.3333 0.6667 0.5000 x1  12 Ga 3.14-3.26
Ga1 0.3844 0.1922 0.5000 x3  6 Ga 2.75-2.81
Ga2 0.5231 0.0462 0.0000 x3  6 Ga 2.80-2.81

=====

[12]
DFT (GGA-PBE) results for an optimized crystal structure of Be2VCoCl.

Computed properties:
raw formation energy	644	kJ/mol of formula units
crystal system	tetragonal
theoretical density	3.3	Mg/m³

a b c (Å): 4.3888 4.3888 4.2712
angles (deg): 90.00 90.00 90.00
With the nearest neighbours (Å) after each atom.
Space group P4/mmm (No. 123)
Symmetry-distinct sites (fractional):
Be1 0.0000 0.5000 0.0000 x2  2 V 2.19
V1 0.0000 0.0000 0.0000 x1  2 Cl 2.14, 4 Be 2.19
Co1 0.5000 0.5000 0.5000 x1  8 Be 3.06, 4 Cl 3.10
Cl1 0.0000 0.0000 0.5000 x1  2 V 2.14

=====

[13]
DFT (GGA-PBE) results for an optimized crystal structure of Be3ZnB.

Computed properties:
uncorrected energy	-3.490	eV/atom
crystal system	cubic
theoretical density	3.3	Mg/m³

a b c (Å): 3.7197 3.7197 3.7197
angles (deg): 90.00 90.00 90.00
With the nearest neighbours (Å) after each atom.
Space group Pm-3m (No. 221)
Symmetry-distinct sites (fractional):
Be1 0.0000 0.0000 0.5000 x3  2 B 1.86
Zn1 0.5000 0.5000 0.5000 x1  12 Be 2.63
B1 0.0000 0.0000 0.0000 x1  6 Be 1.86

=====

[14]
DFT (GGA-PBE) results for an optimized crystal structure of Rb4Tl2Cd.

Computed properties:
uncorrected energy	-1.268	eV/atom
crystal system	tetragonal
theoretical density	3.1	Mg/m³

a b c (Å): 7.2469 7.2469 17.6189
angles (deg): 90.00 90.00 90.00
With the nearest neighbours (Å) after each atom.
Space group I4/mmm (No. 139)
Symmetry-distinct sites (fractional):
Rb1 0.0000 0.0000 0.2086 x4  1 Tl 3.66, 1 Cd 3.67
Rb2 0.0000 0.5000 0.0000 x4  2 Cd 3.62, 4 Tl 3.91
Tl1 0.0000 0.0000 0.4164 x4  1 Tl 2.95
Cd1 0.0000 0.0000 0.0000 x2  6 Rb 3.62-3.67

=====

[15]
DFT (GGA-PBE) results for an optimized crystal structure of AcDySnIr.

Computed properties:
uncorrected energy	-5.818	eV/atom
crystal system	cubic
theoretical density	10.9	Mg/m³

a b c (Å): 7.5321 7.5321 7.5321
angles (deg): 90.00 90.00 90.00
With the nearest neighbours (Å) after each atom.
Space group F-43m (No. 216)
Symmetry-distinct sites (fractional):
Ac1 0.0000 0.0000 0.0000 x4  4 Ir 3.26, 4 Sn 3.26
Dy1 0.0000 0.0000 0.5000 x4  4 Sn 3.26, 4 Ir 3.26
Sn1 0.2500 0.2500 0.7500 x4  4 Ac 3.26, 4 Dy 3.26
Ir1 0.2500 0.2500 0.2500 x4  4 Dy 3.26, 4 Ac 3.26

=====

[16]
DFT (GGA-PBE) results for an optimized crystal structure of Np3Pa5S8.

Computed properties:
raw formation energy	-2374	kJ/mol of formula units
crystal system	trigonal
theoretical density	10.6	Mg/m³

a b c (Å): 7.8047 7.8047 18.9371
angles (deg): 90.00 90.00 120.00
With the nearest neighbours (Å) after each atom.
Space group R-3m (No. 166, hexagonal axes)
Symmetry-distinct sites (fractional):
Np1 0.0000 0.5000 0.0000 x9  6 S 2.73
Pa1 0.0000 0.0000 0.0000 x3  6 S 2.75
Pa2 0.0000 0.0000 0.5000 x3  6 S 2.75
Pa3 0.0000 0.5000 0.5000 x9  6 S 2.77
S1 0.0000 0.0000 0.2520 x6  3 Np 2.73, 3 Pa 2.77
S2 0.0023 0.5011 0.2512 x18  2 Np 2.73, 4 Pa 2.75-2.77

=====

[17]
DFT (GGA-PBE) results for an optimized crystal structure of TaNbCCl2.

Computed properties:
raw formation energy	693	kJ/mol of formula units
crystal system	tetragonal
theoretical density	7.0	Mg/m³

a b c (Å): 4.4054 4.4054 4.3829
angles (deg): 90.00 90.00 90.00
With the nearest neighbours (Å) after each atom.
Space group P4/mmm (No. 123)
Symmetry-distinct sites (fractional):
Ta1 0.0000 0.0000 0.0000 x1  2 C 2.19
Nb1 0.5000 0.5000 0.0000 x1  8 Cl 3.11, 4 Ta 3.12
C1 0.0000 0.0000 0.5000 x1  2 Ta 2.19, 4 Cl 2.20
Cl1 0.0000 0.5000 0.5000 x2  2 C 2.20

=====

[18]
DFT (GGA-PBE) results for an optimized crystal structure of SiTc2Pb2.

Computed properties:
raw formation energy	485	kJ/mol of formula units
crystal system	tetragonal
theoretical density	10.5	Mg/m³

a b c (Å): 8.0516 8.0516 3.1187
angles (deg): 90.00 90.00 90.00
With the nearest neighbours (Å) after each atom.
Space group P4/mbm (No. 127)
Symmetry-distinct sites (fractional):
Si1 0.0000 0.0000 0.0000 x2  4 Pb 3.05, 2 Si 3.12
Tc1 0.1415 0.3585 0.5000 x4  6 Pb 2.80-2.85, 2 Tc 3.12
Pb1 0.1541 0.6541 0.0000 x4  6 Tc 2.80-2.85, 2 Si 3.05, 2 Pb 3.12

=====

[19]
DFT (GGA-PBE) results for an optimized crystal structure of HfSnOs.

Computed properties:
uncorrected energy	-8.570	eV/atom
crystal system	tetragonal
theoretical density	14.1	Mg/m³

a b c (Å): 3.1880 3.1880 11.2979
angles (deg): 90.00 90.00 90.00
With the nearest neighbours (Å) after each atom.
Space group I4mm (No. 107)
Symmetry-distinct sites (fractional):
Hf1 0.0000 0.0000 0.0000 x2  4 Os 2.76
Sn1 0.0000 0.0000 0.7021 x2  4 Os 2.87, 4 Sn 3.19, 4 Hf 3.21
Os1 0.0000 0.0000 0.3592 x2  4 Hf 2.76, 4 Sn 2.87

=====

[20]
DFT (GGA-PBE) results for an optimized crystal structure of LaNdSe2.

Computed properties:
raw formation energy	-734	kJ/mol of formula units
crystal system	hexagonal
theoretical density	6.6	Mg/m³

a b c (Å): 4.2167 4.2167 14.3487
angles (deg): 90.00 90.00 120.00
With the nearest neighbours (Å) after each atom.
Space group P6_3/mmc (No. 194)
Symmetry-distinct sites (fractional):
La1 0.3333 0.6667 0.2500 x2  6 Se 3.06
Nd1 0.0000 0.0000 0.0000 x2  6 Se 2.99
Se1 0.3333 0.6667 0.6211 x4  3 Nd 2.99, 3 La 3.06